1.
The following is a DFT calculation (PBE) of a relaxed structure of SmHo2PaP4.

abc: 4.0122 6.9466 6.9128
angles: 109.48 90.00 90.00
Last column: nearest neighbours and their distance in Å.
Atoms (fractional coordinates):
Sm 0.0000 0.0000 0.0000  6 P 2.86
Ho 0.5000 0.0000 0.5000  6 P 2.85-2.87
Ho 0.0000 0.5000 0.5000  6 P 2.80
Pa 0.5000 0.5000 0.0000  6 P 2.79-2.82
P 0.5000 0.2584 0.2519  1 Pa 2.79, 3 Ho 2.80-2.87, 2 Sm 2.86
P 0.5000 0.7416 0.7481  1 Pa 2.79, 3 Ho 2.80-2.87, 2 Sm 2.86
P 0.0000 0.2555 0.7503  3 Ho 2.80-2.85, 2 Pa 2.82, 1 Sm 2.86
P 0.0000 0.7445 0.2497  3 Ho 2.80-2.85, 2 Pa 2.82, 1 Sm 2.86

## Properties
ΔE_f, eV per atom: -1.531
Calculated density, kg/m3: 7635


2.
The following is a DFT calculation (PBE) of a relaxed structure of Sm3HoPa2P6.

abc: 6.9791 6.9791 6.9983
angles: 99.56 99.56 120.00
Last column: nearest neighbours and their distance in Å.
Atoms (fractional coordinates):
Sm 0.1657 0.8343 0.5000  6 P 2.89-2.91
Sm 0.8343 0.1657 0.5000  6 P 2.89-2.91
Sm 0.5000 0.5000 0.5000  6 P 2.87-2.91
Ho 0.0000 0.0000 0.0000  6 P 2.83
Pa 0.3334 0.6666 0.0000  6 P 2.79-2.80
Pa 0.6666 0.3334 0.0000  6 P 2.79-2.80
P 0.9208 0.5833 0.7623  2 Pa 2.79-2.80, 1 Ho 2.83, 3 Sm 2.89-2.91
P 0.7424 0.7424 0.2387  2 Pa 2.80, 1 Ho 2.83, 3 Sm 2.87-2.90
P 0.0792 0.4167 0.2377  2 Pa 2.79-2.80, 1 Ho 2.83, 3 Sm 2.89-2.91
P 0.5833 0.9208 0.7623  2 Pa 2.79-2.80, 1 Ho 2.83, 3 Sm 2.89-2.91
P 0.2576 0.2576 0.7613  2 Pa 2.80, 1 Ho 2.83, 3 Sm 2.87-2.90
P 0.4167 0.0792 0.2377  2 Pa 2.79-2.80, 1 Ho 2.83, 3 Sm 2.89-2.91

## Properties
ΔE_f, eV per atom: -1.504
Calculated density, kg/m3: 7537


3.
The following is a DFT calculation (PBE) of a relaxed structure of Sr2HoPaP4.

abc: 4.1693 7.1265 7.3437
angles: 108.92 90.00 90.00
Last column: nearest neighbours and their distance in Å.
Atoms (fractional coordinates):
Sr 0.5000 0.0000 0.5000  6 P 3.13-3.14
Sr 0.0000 0.5000 0.5000  6 P 3.06-3.08
Ho 0.0000 0.0000 0.0000  6 P 2.85-2.86
Pa 0.5000 0.5000 0.0000  6 P 2.75-2.80
P 0.5000 0.2485 0.2165  1 Pa 2.75, 2 Ho 2.86, 2 Sr 3.08
P 0.5000 0.7515 0.7835  1 Pa 2.75, 2 Ho 2.86, 2 Sr 3.08
P 0.0000 0.2687 0.7857  2 Pa 2.80, 1 Ho 2.85, 3 Sr 3.06-3.13
P 0.0000 0.7313 0.2143  2 Pa 2.80, 1 Ho 2.85, 3 Sr 3.06-3.13

## Properties
ΔE_f, eV per atom: -1.314
Calculated density, kg/m3: 5592


4.
The following is a DFT calculation (PBE) of a relaxed structure of Sr3HoPa2P6.

abc: 7.1522 7.1522 7.3292
angles: 99.36 99.36 119.99
Last column: nearest neighbours and their distance in Å.
Atoms (fractional coordinates):
Sr 0.1649 0.8351 0.5000  6 P 3.07-3.12
Sr 0.8351 0.1649 0.5000  6 P 3.07-3.12
Sr 0.5000 0.5000 0.5000  6 P 3.05-3.12
Ho 0.0000 0.0000 0.0000  6 P 2.86
Pa 0.3330 0.6670 0.0000  6 P 2.79
Pa 0.6670 0.3330 0.0000  6 P 2.79
P 0.9281 0.5869 0.7847  2 Pa 2.79, 1 Ho 2.86, 3 Sr 3.07-3.12
P 0.7305 0.7305 0.2153  2 Pa 2.79, 1 Ho 2.86, 3 Sr 3.05-3.10
P 0.0719 0.4131 0.2153  2 Pa 2.79, 1 Ho 2.86, 3 Sr 3.07-3.12
P 0.5869 0.9281 0.7847  2 Pa 2.79, 1 Ho 2.86, 3 Sr 3.07-3.12
P 0.2695 0.2695 0.7847  2 Pa 2.79, 1 Ho 2.86, 3 Sr 3.05-3.10
P 0.4131 0.0719 0.2153  2 Pa 2.79, 1 Ho 2.86, 3 Sr 3.07-3.12

## Properties
ΔE_f, eV per atom: -1.296
Calculated density, kg/m3: 5817


5.
The following is a DFT calculation (PBE) of a relaxed structure of TbHo2PaP4.

abc: 3.9931 6.9025 6.8903
angles: 109.48 90.00 90.00
Last column: nearest neighbours and their distance in Å.
Atoms (fractional coordinates):
Tb 0.0000 0.0000 0.0000  6 P 2.83
Ho 0.5000 0.0000 0.5000  6 P 2.83-2.85
Ho 0.0000 0.5000 0.5000  6 P 2.81
Pa 0.5000 0.5000 0.0000  6 P 2.78-2.81
P 0.5000 0.2547 0.2489  1 Pa 2.78, 3 Ho 2.81-2.85, 2 Tb 2.83
P 0.5000 0.7453 0.7511  1 Pa 2.78, 3 Ho 2.81-2.85, 2 Tb 2.83
P 0.0000 0.2534 0.7516  2 Pa 2.81, 3 Ho 2.81-2.83, 1 Tb 2.83
P 0.0000 0.7466 0.2484  2 Pa 2.81, 3 Ho 2.81-2.83, 1 Tb 2.83

## Properties
ΔE_f, eV per atom: -1.546
Calculated density, kg/m3: 7825


6.
The following is a DFT calculation (PBE) of a relaxed structure of TbHoPa2P4.

abc: 3.9832 6.8902 6.8977
angles: 70.50 90.00 90.00
Last column: nearest neighbours and their distance in Å.
Atoms (fractional coordinates):
Tb 0.5000 0.5000 0.0000  6 P 2.83-2.84
Ho 0.0000 0.5000 0.5000  6 P 2.83
Pa 0.0000 0.0000 0.0000  6 P 2.80-2.81
Pa 0.5000 0.0000 0.5000  6 P 2.79-2.80
P 0.0000 0.7545 0.7473  3 Pa 2.79-2.81, 1 Ho 2.83, 2 Tb 2.84
P 0.0000 0.2455 0.2527  3 Pa 2.79-2.81, 1 Ho 2.83, 2 Tb 2.84
P 0.5000 0.7536 0.2500  3 Pa 2.80, 2 Ho 2.83, 1 Tb 2.83
P 0.5000 0.2464 0.7500  3 Pa 2.80, 2 Ho 2.83, 1 Tb 2.83

## Properties
ΔE_f, eV per atom: -1.456
Calculated density, kg/m3: 8466


7.
The following is a DFT calculation (PBE) of a relaxed structure of TbHo2Pa3P6.

abc: 6.8921 6.8921 6.8841
angles: 99.61 99.61 120.01
Last column: nearest neighbours and their distance in Å.
Atoms (fractional coordinates):
Tb 0.0000 0.0000 0.0000  6 P 2.83
Ho 0.3333 0.6667 0.0000  6 P 2.82
Ho 0.6667 0.3333 0.0000  6 P 2.82
Pa 0.1663 0.8337 0.5000  6 P 2.79-2.80
Pa 0.8337 0.1663 0.5000  6 P 2.79-2.80
Pa 0.5000 0.5000 0.5000  6 P 2.79-2.80
P 0.9154 0.5806 0.7464  3 Pa 2.79-2.80, 2 Ho 2.82, 1 Tb 2.83
P 0.7495 0.7495 0.2531  3 Pa 2.79-2.80, 2 Ho 2.82, 1 Tb 2.83
P 0.0846 0.4194 0.2536  3 Pa 2.79-2.80, 2 Ho 2.82, 1 Tb 2.83
P 0.5806 0.9154 0.7464  3 Pa 2.79-2.80, 2 Ho 2.82, 1 Tb 2.83
P 0.2505 0.2505 0.7469  3 Pa 2.79-2.80, 2 Ho 2.82, 1 Tb 2.83
P 0.4194 0.0846 0.2536  3 Pa 2.79-2.80, 2 Ho 2.82, 1 Tb 2.83

## Properties
ΔE_f, eV per atom: -1.457
Calculated density, kg/m3: 8509


8.
The following is a DFT calculation (PBE) of a relaxed structure of HoPaTeP.

abc: 4.0027 4.0029 7.7211
angles: 90.00 105.02 120.00
Last column: nearest neighbours and their distance in Å.
Atoms (fractional coordinates):
Ho 0.4979 0.1469 0.6600  3 P 2.77
Pa 0.1082 0.9521 0.0755  3 P 2.78
Te 0.9695 0.3827 0.3674  3 Pa 3.16, 3 Ho 3.16
P 0.3023 0.5491 0.8667  3 Ho 2.77, 3 Pa 2.78

## Properties
Electronic total energy, eV/f.u.: -27.51
Calculated density, kg/m3: 9008


9.
The following is a DFT calculation (PBE) of a relaxed structure of Ho2UPaP4.

abc: 3.9593 6.8579 6.8978
angles: 109.36 90.00 90.00
Last column: nearest neighbours and their distance in Å.
Atoms (fractional coordinates):
Ho 0.5000 0.0000 0.5000  6 P 2.81
Ho 0.0000 0.5000 0.5000  6 P 2.82
U 0.0000 0.0000 0.0000  6 P 2.79
Pa 0.5000 0.5000 0.0000  6 P 2.80
P 0.5000 0.2481 0.2466  2 U 2.79, 1 Pa 2.80, 3 Ho 2.81-2.82
P 0.5000 0.7519 0.7534  2 U 2.79, 1 Pa 2.80, 3 Ho 2.81-2.82
P 0.0000 0.2501 0.7524  1 U 2.79, 2 Pa 2.80, 3 Ho 2.81-2.82
P 0.0000 0.7499 0.2476  1 U 2.79, 2 Pa 2.80, 3 Ho 2.81-2.82

## Properties
ΔE_f, eV per atom: -1.367
Calculated density, kg/m3: 8672


10.
The following is a DFT calculation (PBE) of a relaxed structure of HoUPa2P4.

abc: 3.9536 6.8722 6.8523
angles: 109.38 90.00 90.00
Last column: nearest neighbours and their distance in Å.
Atoms (fractional coordinates):
Ho 0.5000 0.5000 0.0000  6 P 2.79-2.80
U 0.0000 0.0000 0.0000  6 P 2.79
Pa 0.5000 0.0000 0.5000  6 P 2.80-2.81
Pa 0.0000 0.5000 0.5000  6 P 2.81
P 0.5000 0.2488 0.2478  2 U 2.79, 1 Ho 2.79, 3 Pa 2.81
P 0.5000 0.7512 0.7522  2 U 2.79, 1 Ho 2.79, 3 Pa 2.81
P 0.0000 0.2488 0.7505  1 U 2.79, 3 Pa 2.80-2.81, 2 Ho 2.80
P 0.0000 0.7512 0.2495  1 U 2.79, 3 Pa 2.80-2.81, 2 Ho 2.80

## Properties
ΔE_f, eV per atom: -1.297
Calculated density, kg/m3: 9350


11.
The following is a DFT calculation (PBE) of a relaxed structure of YHo2PaP4.

abc: 3.9898 6.8930 6.8880
angles: 109.48 90.00 90.00
Last column: nearest neighbours and their distance in Å.
Atoms (fractional coordinates):
Y 0.0000 0.0000 0.0000  6 P 2.82
Ho 0.5000 0.0000 0.5000  6 P 2.83-2.84
Ho 0.0000 0.5000 0.5000  6 P 2.81
Pa 0.5000 0.5000 0.0000  6 P 2.78-2.80
P 0.5000 0.2541 0.2485  1 Pa 2.78, 3 Ho 2.81-2.84, 2 Y 2.82
P 0.5000 0.7459 0.7515  1 Pa 2.78, 3 Ho 2.81-2.84, 2 Y 2.82
P 0.0000 0.2530 0.7517  2 Pa 2.80, 3 Ho 2.81-2.83, 1 Y 2.82
P 0.0000 0.7470 0.2483  2 Pa 2.80, 3 Ho 2.81-2.83, 1 Y 2.82

## Properties
ΔE_f, eV per atom: -1.549
Calculated density, kg/m3: 7194